Density functional theory data (GGA+U) for a geometry-optimized MgGeWO6 structure.

Calculated total energy ... -6.7919 eV/atom
Total moment ... 0.00 μB per cell

Structure (CIF):
```
data_MgGeWO6
_chemical_formula_sum 'Mg2 Ge2 W2 O12'
_symmetry_space_group_name_H-M 'P -3 1 c'
_symmetry_Int_Tables_number 163
_symmetry_space_group_name_Hall '-P 3 2c'
_cell_length_a 5.0504
_cell_length_b 5.0504
_cell_length_c 9.1881
_cell_angle_alpha 90.00
_cell_angle_beta 90.00
_cell_angle_gamma 120.00
loop_
_atom_site_label
_atom_site_fract_x
_atom_site_fract_y
_atom_site_fract_z
Mg1 0.0000 0.0000 0.0000
Ge1 0.3333 0.6667 0.2500
W1 0.3333 0.6667 0.7500
O1 0.0049 0.3590 0.1354
```